The following is a PBE calculation of an optimized crystal structure of CoMoPS2, from Alexandria via LeMat-Bulk.

Lattice parameters (Å, degrees): 4.3883 4.3883 4.2569 90.00 90.00 90.00
Closest atoms and distances in Å follow each position.
Element x y z (fractional)
S 0.5000 0.0000 0.0000  2 Co 2.19
S 0.0000 0.5000 0.0000  2 Co 2.19
Co 0.0000 0.0000 0.0000  2 P 2.13, 4 S 2.19
P 0.0000 0.0000 0.5000  2 Co 2.13
Mo 0.5000 0.5000 0.5000  8 S 3.06, 4 P 3.10

Properties
Uncorrected formation energy ... 0.685 eV per atom
Final energy ... -5.6355 eV per atom
Symmetry ... P4/mmm (123)
DOS(E_F) ... 3.685 states/eV/f.u.
Mass density ... 5064 kg/m³
Energy above the lowest structure with this stoichiometry ... 0 meV per atom